(one)
CsIn2Pb3 | Alexandria | GGA-PBE | relaxed; SG = No. 63; total magnetic moment = 0.0 Bohr magnetons per cell; calculated volume = 38.4 Å³/atom
1.0
-1.5190 -0.3067 -5.9438
8.2224 -2.2386 -1.9857
-3.6280 -7.8501 1.3323
Cs Pb In
2 6 4
Direct
0.7500 0.6696 0.6696 Cs
0.2500 0.3304 0.3304 Cs
0.2500 0.9329 0.9329 Pb
0.7500 0.4566 0.0736 Pb
0.7500 0.0736 0.4566 Pb
0.2500 0.9264 0.5434 Pb
0.7500 0.0671 0.0671 Pb
0.2500 0.5434 0.9264 Pb
0.0000 0.7779 0.2221 In
0.0000 0.2221 0.7779 In
0.5000 0.7779 0.2221 In
0.5000 0.2221 0.7779 In



(two)
CsIn2Pb3 | Alexandria | GGA-PBE | relaxed; SG = No. 71; total magnetic moment = 0.0 Bohr magnetons per cell; calculated volume = 35.2 Å³/atom
1.0
3.5726 0.0000 0.9835
0.7162 10.1364 4.3789
-1.0980 -0.9750 10.9686
In Cs Pb
4 2 6
Direct
0.1614 0.3386 0.3386 In
0.5001 0.8242 0.1757 In
0.4999 0.1758 0.8243 In
0.8386 0.6614 0.6614 In
0.8543 0.1456 0.1458 Cs
0.1457 0.8544 0.8542 Cs
0.3294 0.8765 0.4648 Pb
0.0000 0.3739 0.6261 Pb
0.0000 0.6261 0.3739 Pb
0.6708 0.5351 0.1234 Pb
0.6706 0.1235 0.5352 Pb
0.3292 0.4649 0.8766 Pb



Most favorable structure: (one). The second most favorable one is 0.052 eV/atom above it.



(one)
CsInPb4 | Alexandria | GGA-PBE | relaxed; SG = No. 191; total magnetic moment = 0.0 Bohr magnetons per cell; calculated volume = 38.4 Å³/atom
1.0
-2.1940 -2.0656 -4.7569
4.8031 -2.1184 2.0374
-4.3641 -5.6143 4.4507
Pb In Cs
4 1 1
Direct
0.3333 0.6667 0.1855 Pb
0.6667 0.3333 0.8145 Pb
0.3333 0.6667 0.8145 Pb
0.6667 0.3333 0.1855 Pb
0.0000 0.0000 0.0000 In
0.0000 0.0000 0.5000 Cs



(two)
CsInPb4 | Alexandria | GGA-PBE | relaxed; SG = No. 216; total magnetic moment = 0.0 Bohr magnetons per cell; calculated volume = 36.1 Å³/atom
1.0
-4.0729 5.3226 0.7179
-3.9341 1.9475 -5.1150
-6.6726 -0.8857 0.3537
Pb Cs In
4 1 1
Direct
0.6249 0.6249 0.6249 Pb
0.1252 0.6249 0.6249 Pb
0.6249 0.1252 0.6249 Pb
0.6249 0.6249 0.1252 Pb
0.2500 0.2500 0.2500 Cs
0.0000 0.0000 0.0000 In



(three)
CsInPb4 | Alexandria | GGA-PBE | relaxed; SG = No. 2; total magnetic moment = 0.0 Bohr magnetons per cell; calculated volume = 40.3 Å³/atom
1.0
9.5306 1.1700 0.4958
0.6317 6.3725 -1.7324
-4.8482 -5.0334 9.0569
Pb Cs In
8 2 2
Direct
0.2134 0.1006 0.2955 Pb
0.9055 0.2270 0.6239 Pb
0.4056 0.7272 0.6241 Pb
0.7134 0.6004 0.2954 Pb
0.5944 0.2728 0.3759 Pb
0.2866 0.3996 0.7046 Pb
0.7866 0.8994 0.7045 Pb
0.0945 0.7730 0.3761 Pb
0.7500 0.7501 0.9997 Cs
0.2500 0.2499 0.0003 Cs
0.5000 0.0000 0.5000 In
0.0000 0.5000 0.5000 In



Most favorable structure: (three). The second most favorable one is 0.010 eV/atom above it.



(one)
Cs2InPd | Alexandria | GGA-PBE | relaxed; SG = No. 225; total magnetic moment = 0.0 Bohr magnetons per cell; calculated volume = 41.4 Å³/atom
1.0
0.4946 3.8289 4.8051
-1.6166 5.9183 -0.5960
-5.0728 2.1060 2.7975
In Cs Pd
1 2 1
Direct
0.5000 0.5000 0.5000 In
0.7500 0.7500 0.7500 Cs
0.2500 0.2500 0.2500 Cs
0.0000 0.0000 0.0000 Pd



(two)
Cs2InPd | Alexandria | GGA-PBE | relaxed; SG = No. 122; total magnetic moment = 0.0 Bohr magnetons per cell; calculated volume = 57.3 Å³/atom
1.0
-6.8259 -8.2514 7.7649
-7.5810 -3.4111 -10.2891
-5.5360 -7.7639 -1.8500
Cs Pd In
4 2 2
Direct
0.4496 0.1250 0.2500 Cs
0.3750 0.5504 0.7500 Cs
0.8750 0.6996 0.7500 Cs
0.3004 0.6250 0.2500 Cs
0.2500 0.7500 0.5000 Pd
0.5000 0.5000 0.0000 Pd
0.7500 0.2500 0.5000 In
0.0000 0.0000 0.0000 In



Most favorable structure: (two). The second most favorable one is 0.401 eV/atom above it.